# Ac2HoTmSe4

An optimized crystal structure of Ac2HoTmSe4 (PBE-GGA, Alexandria via LeMat-Bulk).

Values from the calculation:
* spin magnetization: 0.0 μB per formula unit
* SG: P2/m (10)
* E: -5.6790 eV/atom
* formation energy (no corrections): -1.778 eV per atom

Lattice parameters (Å, degrees): 4.1016 7.1361 7.7979 107.64 90.00 90.00
Last column: nearest neighbours and their distance in Å.
Fractional positions:
1 Ac 0.5000 0.0000 0.5000  6 Se 3.17
2 Ac 0.0000 0.5000 0.5000  6 Se 3.19
3 Ho 0.5000 0.5000 0.0000  6 Se 2.87
4 Se 0.5000 0.7641 0.7857  2 Tm 2.85, 1 Ho 2.87, 3 Ac 3.17-3.19
5 Se 0.0000 0.7401 0.2155  1 Tm 2.86, 2 Ho 2.87, 3 Ac 3.17-3.19
6 Se 0.0000 0.2599 0.7845  1 Tm 2.86, 2 Ho 2.87, 3 Ac 3.17-3.19
7 Se 0.5000 0.2359 0.2143  2 Tm 2.85, 1 Ho 2.87, 3 Ac 3.17-3.19
8 Tm 0.0000 0.0000 0.0000  6 Se 2.85-2.86